1.
7
Lattice="-3.2587 1.4868 -9.1204 -4.0802 -2.9013 -8.4230 1.6250 1.2194 9.5856" Properties=species:S:1:pos:R:3 comment="Si4Mo3 | Alexandria via LeMat-Bulk | GGA-PBE | optimized geometry" magmom_total_mub_per_atom=0.000 density_g_cm3=6.827 relative_energy_kj_per_mol_atoms=0.00 formation_energy_uncorrected_mev_per_atom=-447 pbc="T T T"
Mo 0.0000 0.0000 0.0000
Mo -5.1768 -0.9978 -12.3749
Mo -2.1621 -0.4167 -5.1685
Si -6.3039 -1.2151 -15.0694
Si -1.0349 -0.1995 -2.4740
Si -4.1749 -0.8047 -9.9800
Si -3.1640 -0.6098 -7.5634

2.
5
Lattice="-0.2067 3.2221 3.5328 1.5205 -3.3082 3.1063 4.5333 1.2565 -0.8808" Properties=species:S:1:pos:R:3 comment="AcMnGe3 | Alexandria via LeMat-Bulk | GGA-PBE | optimized geometry" formation_energy_kj_per_mol_atoms=-21.9 magmom_total_mub_per_atom=0.510 density_g_cm3=7.572 relative_energy_kj_per_mol_atoms=16.55 pbc="T T T"
Ac 2.9235 0.5852 2.8791
Mn 0.0000 0.0000 0.0000
Ge 0.7602 -1.6541 1.5531
Ge 2.2666 0.6282 -0.4404
Ge -0.1033 1.6111 1.7664